# Pr2NdSmEr

An optimized crystal structure of Pr2NdSmEr (GGA-PBE, Alexandria).

POSCAR file:
```
Pr2NdSmEr
1.0
8.335 0.000 0.000
0.000 6.754 0.000
-0.128 0.000 6.284
Pr Nd Sm Er
4 2 2 2
direct
0.193 0.194 0.257
0.193 0.806 0.757
0.807 0.194 0.243
0.807 0.806 0.743
0.500 0.500 0.000
0.500 0.500 0.500
0.500 0.075 0.750
0.500 0.925 0.250
0.000 0.342 0.750
0.000 0.658 0.250
```

Results
M_tot, Bohr magnetons per cell: 0.00
Uncorrected energy, eV for the cell shown: -44.6
E_form, eV/atom: 0.261
DOS at the Fermi energy, states/eV/atom: 1.2430